CaInMo: relaxed, PBE.

The structure in POSCAR format:
```
CaInMo
1.0
-1.815 1.815 5.328
1.815 -1.815 5.328
1.815 1.815 -5.328
Ca In Mo
1 1 1
direct
0.000 0.000 0.000
0.295 0.295 0.000
0.689 0.689 0.000
```

Values from the calculation:
* distance to the lowest polymorph of the same formula: 0.32 eV/f.u.
* calculated formation energy: 484 meV per atom
* total DFT energy (no corrections): -4.706 eV per atom